[1]
GGA+U Tl2FePdF6, relaxed; crystal system = orthorhombic; total energy = -4.49 eV per atom
1.0
5.8673 0.0000 0.0000
0.0000 9.9806 0.0000
0.0000 0.0000 5.8731
Tl Fe Pd F
4 2 2 12
Direct
0.2500 0.0003 0.2483 Tl
0.2500 0.4997 0.2483 Tl
0.7500 0.9997 0.7517 Tl
0.7500 0.5003 0.7517 Tl
0.2500 0.2500 0.7592 Fe
0.7500 0.7500 0.2408 Fe
0.2500 0.7500 0.7400 Pd
0.7500 0.2500 0.2600 Pd
0.0078 0.7500 0.4984 F
0.0080 0.7500 0.9818 F
0.2500 0.0524 0.7633 F
0.2500 0.4476 0.7633 F
0.4922 0.7500 0.4984 F
0.4920 0.7500 0.9818 F
0.5080 0.2500 0.0182 F
0.5078 0.2500 0.5016 F
0.7500 0.5524 0.2367 F
0.7500 0.9476 0.2367 F
0.9920 0.2500 0.0182 F
0.9922 0.2500 0.5016 F

***

[2]
GGA+U ZnFePdF6, relaxed; crystal system = trigonal; total energy = -4.50 eV per atom
1.0
5.4006 0.0000 0.0000
-2.7003 4.6771 0.0000
0.0000 0.0000 9.8801
Zn Fe Pd F
2 2 2 12
Direct
0.3333 0.6667 0.2500 Zn
0.6667 0.3333 0.7500 Zn
0.3333 0.6667 0.7500 Fe
0.6667 0.3333 0.2500 Fe
0.0000 0.0000 0.0000 Pd
0.0000 0.0000 0.5000 Pd
0.0125 0.3732 0.6411 F
0.0125 0.6392 0.8589 F
0.3608 0.3732 0.8589 F
0.3608 0.9875 0.6411 F
0.3732 0.0125 0.1411 F
0.3732 0.3608 0.3589 F
0.6268 0.6392 0.6411 F
0.6268 0.9875 0.8589 F
0.6392 0.0125 0.3589 F
0.6392 0.6268 0.1411 F
0.9875 0.3608 0.1411 F
0.9875 0.6268 0.3589 F

***

[3]
GGA+U Pm3Fe5F12, relaxed; crystal system = cubic; total energy = -5.49 eV per atom
1.0
-6.7383 6.7383 6.7383
6.7383 -6.7383 6.7383
6.7383 6.7383 -6.7383
Pm Fe F
12 20 48
Direct
0.1250 0.2500 0.3750 Pm
0.1250 0.3750 0.7500 Pm
0.2500 0.3750 0.1250 Pm
0.2500 0.8750 0.6250 Pm
0.3750 0.1250 0.2500 Pm
0.3750 0.7500 0.1250 Pm
0.6250 0.2500 0.8750 Pm
0.6250 0.8750 0.7500 Pm
0.7500 0.1250 0.3750 Pm
0.7500 0.6250 0.8750 Pm
0.8750 0.6250 0.2500 Pm
0.8750 0.7500 0.6250 Pm
0.0000 0.0000 0.0000 Fe
0.0000 0.0000 0.5000 Fe
0.0000 0.5000 0.0000 Fe
0.0000 0.5000 0.5000 Fe
0.1250 0.7500 0.8750 Fe
0.1250 0.8750 0.2500 Fe
0.2500 0.1250 0.8750 Fe
0.2500 0.6250 0.3750 Fe
0.3750 0.2500 0.6250 Fe
0.3750 0.6250 0.7500 Fe
0.5000 0.0000 0.0000 Fe
0.5000 0.0000 0.5000 Fe
0.5000 0.5000 0.0000 Fe
0.5000 0.5000 0.5000 Fe
0.6250 0.3750 0.2500 Fe
0.6250 0.7500 0.3750 Fe
0.7500 0.3750 0.6250 Fe
0.7500 0.8750 0.1250 Fe
0.8750 0.1250 0.7500 Fe
0.8750 0.2500 0.1250 Fe
0.0616 0.2284 0.1396 F
0.0616 0.3331 0.9220 F
0.0780 0.6396 0.4111 F
0.0780 0.9384 0.6669 F
0.0889 0.7284 0.6669 F
0.0889 0.8604 0.4220 F
0.1396 0.0616 0.2284 F
0.1396 0.5780 0.9111 F
0.1669 0.2284 0.5889 F
0.1669 0.4384 0.5780 F
0.2284 0.1396 0.0616 F
0.2284 0.5889 0.1669 F
0.2716 0.3331 0.9111 F
0.2716 0.4384 0.3604 F
0.3331 0.9111 0.2716 F
0.3331 0.9220 0.0616 F
0.3604 0.2716 0.4384 F
0.3604 0.5889 0.9220 F
0.4111 0.0780 0.6396 F
0.4111 0.8331 0.7716 F
0.4220 0.0889 0.8604 F
0.4220 0.8331 0.5616 F
0.4384 0.3604 0.2716 F
0.4384 0.5780 0.1669 F
0.5616 0.4220 0.8331 F
0.5616 0.6396 0.7284 F
0.5780 0.1669 0.4384 F
0.5780 0.9111 0.1396 F
0.5889 0.1669 0.2284 F
0.5889 0.9220 0.3604 F
0.6396 0.4111 0.0780 F
0.6396 0.7284 0.5616 F
0.6669 0.0780 0.9384 F
0.6669 0.0889 0.7284 F
0.7284 0.5616 0.6396 F
0.7284 0.6669 0.0889 F
0.7716 0.4111 0.8331 F
0.7716 0.8604 0.9384 F
0.8331 0.5616 0.4220 F
0.8331 0.7716 0.4111 F
0.8604 0.4220 0.0889 F
0.8604 0.9384 0.7716 F
0.9111 0.1396 0.5780 F
0.9111 0.2716 0.3331 F
0.9220 0.0616 0.3331 F
0.9220 0.3604 0.5889 F
0.9384 0.6669 0.0780 F
0.9384 0.7716 0.8604 F

***

[4]
GGA+U PmFe2F11, relaxed; crystal system = tetragonal; total energy = -5.08 eV per atom
1.0
-4.3577 4.3577 5.2039
4.3577 -4.3577 5.2039
4.3577 4.3577 -5.2039
Pm Fe F
2 4 22
Direct
0.2500 0.2500 0.0000 Pm
0.7500 0.7500 0.0000 Pm
0.1636 0.6636 0.8272 Fe
0.3364 0.1636 0.5000 Fe
0.6636 0.8364 0.5000 Fe
0.8364 0.3364 0.1728 Fe
0.0000 0.5000 0.5000 F
0.0719 0.3541 0.1650 F
0.0930 0.9281 0.2822 F
0.1459 0.4281 0.8350 F
0.1891 0.9070 0.8350 F
0.1916 0.3084 0.5000 F
0.3084 0.8084 0.1168 F
0.3109 0.1459 0.7178 F
0.3541 0.1891 0.2822 F
0.4070 0.6891 0.8350 F
0.4281 0.5930 0.2822 F
0.5000 0.0000 0.5000 F
0.5719 0.4070 0.7178 F
0.5930 0.3109 0.1650 F
0.6459 0.8109 0.7178 F
0.6891 0.8541 0.2822 F
0.6916 0.1916 0.8832 F
0.8084 0.6916 0.5000 F
0.8109 0.0930 0.1650 F
0.8541 0.5719 0.1650 F
0.9070 0.0719 0.7178 F
0.9281 0.6459 0.8350 F

***

[5]
GGA+U PmFe2F8, relaxed; crystal system = monoclinic; total energy = -5.71 eV per atom
1.0
4.9762 -3.0543 0.0000
4.9762 3.0543 0.0000
-0.8517 0.0000 5.1494
Pm Fe F
1 2 8
Direct
0.0000 0.0000 0.0000 Pm
0.2974 0.2974 0.5135 Fe
0.7026 0.7026 0.4865 Fe
0.0705 0.6337 0.7146 F
0.1504 0.1504 0.7309 F
0.3663 0.9295 0.2854 F
0.4092 0.4092 0.2582 F
0.5908 0.5908 0.7418 F
0.6337 0.0705 0.7146 F
0.8496 0.8496 0.2691 F
0.9295 0.3663 0.2854 F

***

[6]
GGA+U PmFeF5, relaxed; crystal system = monoclinic; total energy = -6.20 eV per atom
1.0
4.6532 -3.4571 0.0000
4.6532 3.4571 0.0000
-3.2689 0.0000 7.1233
Pm Fe F
2 2 10
Direct
0.0529 0.9471 0.7500 Pm
0.9471 0.0529 0.2500 Pm
0.5000 0.5000 0.0000 Fe
0.5000 0.5000 0.5000 Fe
0.1783 0.8071 0.0342 F
0.1929 0.8217 0.4658 F
0.2438 0.2834 0.3784 F
0.2834 0.2438 0.8784 F
0.3876 0.6124 0.7500 F
0.6124 0.3876 0.2500 F
0.7166 0.7562 0.1216 F
0.7562 0.7166 0.6216 F
0.8071 0.1783 0.5342 F
0.8217 0.1929 0.9658 F